Compound: Nd2NiS
Source: Alexandria
Functional: PBE
Structure: optimized geometry

a = 3.9786 Å, b = 23.1558 Å, c = 4.0818 Å
α = 90.00°, β = 90.00°, γ = 90.00°
Space group Cmcm (No. 63)
Inequivalent atoms, fractional coordinates:
Nd  0.0000  0.0663  0.2500 x4
Nd  0.0000  0.3128  0.2500 x4
Ni  0.0000  0.4685  0.2500 x4
S  0.0000  0.1904  0.2500 x4

Values from the calculation:
Density = 6.699 Mg/m³
Formation energy (no corrections) = -1.153 eV/atom
Distance to the lowest polymorph of the same formula = 0 meV/atom
N(E_F) = 2.920 states/eV/f.u.